No. 1
3
Lattice="-3.434 1.810 0.822 0.192 -2.645 -2.951 -1.759 -5.541 4.851" Properties=species:S:1:pos:R:3 comment="PBE-GGA YICl, relaxed" raw_formation_energy_ev_per_atom=-1.549 total_magnetization_mub_per_fu=0.0 spacegroup=P3m1 polymorph_energy_ev_per_fu=0.17 pbc="T T T"
I -0.150 -0.473 0.414
Y -2.845 -1.627 1.273
Cl -2.006 -4.277 1.035

No. 2
8
Lattice="-1.813 2.124 5.973 -4.464 -2.234 1.492 3.039 -4.216 0.370" Properties=species:S:1:pos:R:3 comment="PBE-GGA AgRhSe2, relaxed" raw_formation_energy_ev_per_atom=-0.150 total_magnetization_mub_per_fu=0.0 spacegroup=C2/c pbc="T T T"
Rh -4.099 -1.821 5.888
Rh 0.861 -2.505 1.946
Se -0.214 -0.148 2.035
Se -1.710 -3.397 2.281
Se -3.023 -4.179 5.799
Se -1.528 -0.929 5.553
Ag -0.474 -3.384 5.492
Ag -2.764 -0.943 2.342

No. 3
14
Lattice="-10.417 5.537 -3.663 10.933 -1.226 8.740 -7.073 11.201 -4.634" Properties=species:S:1:pos:R:3 comment="PBE-GGA TlSi2Te4, relaxed" raw_formation_energy_ev_per_atom=-0.075 total_magnetization_mub_per_fu=0.0 spacegroup=P1 pbc="T T T"
Tl -2.301 11.196 2.420
Tl 1.138 5.640 4.704
Si -9.482 14.551 -3.087
Si -0.743 6.185 1.083
Si 3.844 3.066 4.414
Si -6.860 6.418 -1.759
Te -5.487 10.986 0.858
Te 2.012 2.871 2.571
Te -4.804 9.807 -2.910
Te 8.419 -0.224 6.873
Te -11.658 9.805 -4.273
Te -5.007 6.602 0.092
Te -8.634 12.242 -2.252
Te -1.578 8.489 0.250

No. 4
20
Lattice="9.422 -0.760 -3.627 -5.033 8.002 -3.627 -0.461 -0.760 10.086" Properties=species:S:1:pos:R:3 comment="PBE-GGA Sm6HoTm3, relaxed" total_magnetization_mub_per_fu=0.0 spacegroup=R-3c polymorph_energy_ev_per_fu=0.60 pbc="T T T"
Sm 3.156 6.090 -4.446
Sm 6.888 -0.037 4.400
Sm -2.972 5.615 5.143
Sm 4.238 2.089 -0.643
Sm 1.514 1.614 4.224
Sm -0.644 4.724 0.100
Sm 0.773 0.391 7.277
Sm -2.960 6.518 -1.568
Sm 6.900 0.866 -2.312
Sm -0.310 4.392 3.474
Sm 2.414 4.867 -1.393
Sm 4.573 1.757 2.731
Ho 2.946 4.861 2.124
Ho 0.982 1.620 0.708
Tm 4.724 3.098 -4.014
Tm 3.817 -0.618 5.751
Tm -3.630 5.621 1.802
Tm 0.112 7.099 -2.919
Tm 7.559 0.860 1.029
Tm -0.795 3.383 6.845

No. 5
5
Lattice="4.885 0.000 0.000 0.000 5.094 0.000 0.000 0.000 5.094" Properties=species:S:1:pos:R:3 comment="PBE-GGA Sm2YCdC, relaxed" total_magnetization_mub_per_fu=0.0 total_energy_ev_per_fu=-27.3 spacegroup=P4/mmm pbc="T T T"
Sm 0.000 0.000 2.547
Sm 0.000 2.547 0.000
Y 2.443 0.000 0.000
Cd 2.443 2.547 2.547
C 0.000 0.000 0.000

No. 6
5
Lattice="-1.555 4.276 -0.531 -3.460 -1.576 -2.556 -2.568 -0.467 3.765" Properties=species:S:1:pos:R:3 comment="PBE-GGA TcP3Pd, relaxed" total_magnetization_mub_per_fu=0.0 spacegroup=Pm-3m polymorph_energy_ev_per_fu=0.00 pbc="T T T"
P -1.730 -0.788 -1.278
P -1.284 -0.233 1.882
P -0.778 2.138 -0.265
Tc 0.000 0.000 0.000
Pd -3.792 1.117 0.339

No. 7
12
Lattice="-2.271 -2.059 -6.266 4.479 -3.994 3.555 -5.784 -1.103 3.758" Properties=species:S:1:pos:R:3 comment="PBE-GGA Nd3HoTh2S6, relaxed" raw_formation_energy_ev_per_atom=-1.940 total_magnetization_mub_per_fu=0.0 spacegroup=C2/m pbc="T T T"
Nd 0.450 -4.219 3.780
Nd -4.026 -2.936 -2.732
Nd -1.788 -3.578 0.524
Ho 0.000 0.000 0.000
Th 2.229 -3.349 0.281
Th -0.021 -2.704 -2.992
S -3.808 -5.100 -0.802
S 0.255 -4.849 -1.130
S 0.232 -2.055 1.850
S -1.612 -5.730 2.394
S -3.831 -2.307 2.178
S -1.964 -1.426 -1.346

No. 8
4
Lattice="-1.644 -1.027 2.624 -0.938 -2.666 -1.631 6.562 -3.892 2.588" Properties=species:S:1:pos:R:3 comment="PBE-GGA HoZr2Fe, relaxed" total_magnetization_mub_per_fu=0.6 spacegroup=P4/mmm polymorph_energy_ev_per_fu=0.00 pbc="T T T"
Ho 1.990 -3.792 1.791
Zr 5.321 -3.156 2.099
Zr 1.241 -0.736 0.489
Fe -1.291 -1.846 0.497